--- i ---
! HoEr2Te3 | Alexandria | PBE | optimized geometry; values from VASP
! SG ... R-3c (167)
&SYSTEM
  ibrav = 0, nat = 12, ntyp = 3
/
ATOMIC_SPECIES
Er 167.26 Er.upf
Te 127.60 Te.upf
Ho 164.93 Ho.upf
CELL_PARAMETERS angstrom
-3.744 -6.136 0.143
-1.425 -3.196 6.281
-8.283 0.905 2.696
ATOMIC_POSITIONS crystal
Er 0.334 0.334 0.999
Te 0.250 0.918 0.250
Te 0.750 0.082 0.750
Te 0.418 0.750 0.750
Ho 0.500 0.500 0.500
Te 0.582 0.250 0.250
Er 0.666 0.666 0.001
Er 0.166 0.166 0.501
Er 0.834 0.834 0.499
Te 0.918 0.582 0.250
Te 0.082 0.418 0.750
Ho 0.000 0.000 0.000

---

--- ii ---
! HoEr2Te3 | Alexandria | PBE | optimized geometry; values from VASP
! SG ... Immm (71)
&SYSTEM
  ibrav = 0, nat = 6, ntyp = 3
/
ATOMIC_SPECIES
Ho 164.93 Ho.upf
Te 127.60 Te.upf
Er 167.26 Er.upf
CELL_PARAMETERS angstrom
4.352 0.000 0.000
0.000 6.093 0.000
-2.176 -3.047 6.460
ATOMIC_POSITIONS crystal
Ho 0.500 0.500 0.500
Te 0.168 0.668 0.836
Te 0.500 0.000 0.500
Er 0.165 0.165 0.829
Er 0.835 0.835 0.171
Te 0.832 0.332 0.164

---

Which structure is most stable? i, by 0.029 eV/atom over the runner-up.

---

--- i ---
! Ho2Er7Th2 | Alexandria | PBE | optimized geometry; values from VASP
! SG ... C2/m (12)
&SYSTEM
  ibrav = 0, nat = 11, ntyp = 3
/
ATOMIC_SPECIES
Er 167.26 Er.upf
Ho 164.93 Ho.upf
Th 232.04 Th.upf
CELL_PARAMETERS angstrom
8.409 -1.452 0.181
-1.705 5.501 1.516
-0.804 1.452 8.373
ATOMIC_POSITIONS crystal
Er 0.592 0.377 0.408
Er 0.593 0.820 0.940
Ho 0.764 0.113 0.236
Er 0.940 0.180 0.593
Th 0.789 0.500 0.789
Th 0.211 0.500 0.211
Er 0.000 0.000 0.000
Ho 0.236 0.887 0.764
Er 0.408 0.623 0.592
Er 0.060 0.820 0.407
Er 0.407 0.180 0.060

---

--- ii ---
! Ho2Er7Th2 | Alexandria | PBE | optimized geometry; values from VASP
! SG ... C2/m (12)
&SYSTEM
  ibrav = 0, nat = 11, ntyp = 3
/
ATOMIC_SPECIES
Er 167.26 Er.upf
Ho 164.93 Ho.upf
Th 232.04 Th.upf
CELL_PARAMETERS angstrom
-5.187 2.443 -1.995
-4.288 -5.993 -2.888
-4.712 0.629 6.327
ATOMIC_POSITIONS crystal
Er 0.827 0.936 0.412
Er 0.827 0.412 0.936
Ho 0.500 0.215 0.785
Th 0.193 0.585 0.585
Er 0.173 0.064 0.588
Th 0.807 0.415 0.415
Er 0.000 0.000 0.000
Er 0.421 0.237 0.237
Er 0.579 0.763 0.763
Ho 0.500 0.785 0.215
Er 0.173 0.588 0.064

---

Which structure is most stable? ii, by 0.007 eV/atom over the runner-up.

---

--- i ---
! Ho6Er3Th | Alexandria | PBE | optimized geometry; values from VASP
! SG ... Cmc2_1 (36)
&SYSTEM
  ibrav = 0, nat = 20, ntyp = 3
/
ATOMIC_SPECIES
Ho 164.93 Ho.upf
Er 167.26 Er.upf
Th 232.04 Th.upf
CELL_PARAMETERS angstrom
8.932 0.000 0.000
0.000 8.823 -1.039
0.000 -2.982 8.368
ATOMIC_POSITIONS crystal
Ho 0.596 0.186 0.306
Er 0.281 0.448 0.552
Th 0.673 0.776 0.224
Ho 0.596 0.694 0.814
Ho 0.538 0.283 0.717
Ho 0.096 0.814 0.694
Th 0.173 0.224 0.776
Er 0.927 0.531 0.826
Ho 0.769 0.970 0.679
Ho 0.410 0.054 0.946
Er 0.781 0.552 0.448
Er 0.427 0.826 0.531
Ho 0.096 0.306 0.186
Ho 0.269 0.679 0.970
Ho 0.910 0.946 0.054
Er 0.427 0.469 0.174
Ho 0.269 0.030 0.321
Ho 0.038 0.717 0.283
Ho 0.769 0.321 0.030
Er 0.927 0.174 0.469

---

--- ii ---
! Ho6Er3Th | Alexandria | PBE | optimized geometry; values from VASP
! SG ... R32 (155)
&SYSTEM
  ibrav = 0, nat = 10, ntyp = 3
/
ATOMIC_SPECIES
Er 167.26 Er.upf
Th 232.04 Th.upf
Ho 164.93 Ho.upf
CELL_PARAMETERS angstrom
-0.233 -4.309 8.719
0.170 -9.707 0.635
3.899 -4.594 3.261
ATOMIC_POSITIONS crystal
Er 0.157 0.157 0.528
Th 0.900 0.900 0.300
Er 0.400 0.400 0.801
Ho 0.736 0.064 0.800
Ho 0.064 0.400 0.800
Er 0.642 0.642 0.074
Ho 0.900 0.566 0.300
Ho 0.234 0.900 0.300
Ho 0.566 0.234 0.300
Ho 0.400 0.736 0.800

---

Which structure is most stable? i, by 0.150 eV/atom over the runner-up.

---

--- i ---
! Ho3Er3Th2 | Alexandria | PBE | optimized geometry; values from VASP
! SG ... Immm (71)
&SYSTEM
  ibrav = 0, nat = 8, ntyp = 3
/
ATOMIC_SPECIES
Th 232.04 Th.upf
Ho 164.93 Ho.upf
Er 167.26 Er.upf
CELL_PARAMETERS angstrom
5.004 0.000 0.000
0.000 5.004 -0.001
-2.502 -2.504 10.022
ATOMIC_POSITIONS crystal
Th 0.250 0.750 0.500
Ho 0.373 0.373 0.747
Er 0.873 0.873 0.747
Er 0.000 0.500 0.000
Ho 0.500 0.000 0.000
Th 0.750 0.250 0.500
Er 0.127 0.127 0.253
Ho 0.627 0.627 0.253

---

--- ii ---
! Ho3Er3Th2 | Alexandria | PBE | optimized geometry; values from VASP
! SG ... R32 (155)
&SYSTEM
  ibrav = 0, nat = 8, ntyp = 3
/
ATOMIC_SPECIES
Ho 164.93 Ho.upf
Th 232.04 Th.upf
Er 167.26 Er.upf
CELL_PARAMETERS angstrom
-2.216 3.626 4.648
1.017 -4.663 4.109
5.806 2.195 1.069
ATOMIC_POSITIONS crystal
Ho 0.500 0.249 0.249
Th 0.251 0.251 0.749
Ho 0.751 0.500 0.751
Er 0.750 0.000 0.750
Th 0.749 0.749 0.251
Er 0.250 0.750 0.000
Ho 0.249 0.751 0.500
Er 0.000 0.250 0.250

---

Which structure is most stable? i, by 0.183 eV/atom over the runner-up.

---

--- i ---
! HoEr5Th2 | Alexandria | PBE | optimized geometry; values from VASP
! SG ... C2/c (15)
&SYSTEM
  ibrav = 0, nat = 16, ntyp = 3
/
ATOMIC_SPECIES
Er 167.26 Er.upf
Th 232.04 Th.upf
Ho 164.93 Ho.upf
CELL_PARAMETERS angstrom
5.263 10.856 10.414
-12.416 -9.262 3.750
-3.010 -0.606 9.815
ATOMIC_POSITIONS crystal
Er 0.349 0.651 0.250
Er 0.039 0.925 0.529
Th 0.500 0.500 0.000
Ho 0.233 0.767 0.750
Er 0.651 0.349 0.750
Er 0.961 0.075 0.471
Er 0.713 0.431 0.966
Th 0.500 0.500 0.500
Er 0.287 0.569 0.034
Er 0.075 0.961 0.971
Er 0.431 0.713 0.466
Er 0.925 0.039 0.029
Ho 0.767 0.233 0.250
Th 0.000 0.500 0.500
Th 0.500 0.000 0.000
Er 0.569 0.287 0.534

---

--- ii ---
! HoEr5Th2 | Alexandria | PBE | optimized geometry; values from VASP
! SG ... Immm (71)
&SYSTEM
  ibrav = 0, nat = 8, ntyp = 3
/
ATOMIC_SPECIES
Er 167.26 Er.upf
Th 232.04 Th.upf
Ho 164.93 Ho.upf
CELL_PARAMETERS angstrom
3.497 0.000 0.000
1.748 8.579 -0.079
1.748 1.498 8.448
ATOMIC_POSITIONS crystal
Er 0.370 0.397 0.864
Th 0.258 0.242 0.242
Th 0.742 0.758 0.758
Er 0.000 0.500 0.500
Ho 0.000 0.000 0.000
Er 0.370 0.864 0.397
Er 0.630 0.603 0.136
Er 0.630 0.136 0.603

---

Which structure is most stable? ii, by 0.216 eV/atom over the runner-up.

---

--- i ---
! Ho3Er7Th | Alexandria | PBE | optimized geometry; values from VASP
! SG ... C2/m (12)
&SYSTEM
  ibrav = 0, nat = 22, ntyp = 3
/
ATOMIC_SPECIES
Er 167.26 Er.upf
Th 232.04 Th.upf
Ho 164.93 Ho.upf
CELL_PARAMETERS angstrom
9.373 -2.630 1.230
-5.698 7.894 1.230
1.488 2.131 12.816
ATOMIC_POSITIONS crystal
Er 0.882 0.559 0.528
Th 0.500 0.500 0.500
Er 0.913 0.087 0.250
Ho 0.000 0.500 0.250
Ho 0.500 0.000 0.250
Er 0.441 0.118 0.472
Ho 0.000 0.000 0.500
Er 0.087 0.913 0.250
Ho 0.000 0.000 0.000
Er 0.559 0.882 0.028
Th 0.500 0.500 0.000
Ho 0.000 0.500 0.750
Er 0.118 0.441 0.972
Er 0.882 0.559 0.028
Er 0.913 0.087 0.750
Er 0.559 0.882 0.528
Ho 0.500 0.000 0.750
Er 0.500 0.500 0.750
Er 0.118 0.441 0.472
Er 0.087 0.913 0.750
Er 0.441 0.118 0.972
Er 0.500 0.500 0.250

---

--- ii ---
! Ho3Er7Th | Alexandria | PBE | optimized geometry; values from VASP
! SG ... P3m1 (156)
&SYSTEM
  ibrav = 0, nat = 11, ntyp = 3
/
ATOMIC_SPECIES
Er 167.26 Er.upf
Ho 164.93 Ho.upf
Th 232.04 Th.upf
CELL_PARAMETERS angstrom
-4.261 -3.835 6.368
5.239 -4.544 0.770
0.007 5.976 3.603
ATOMIC_POSITIONS crystal
Er 0.448 0.832 0.665
Er 0.120 0.169 0.339
Er 0.448 0.832 0.168
Er 0.120 0.661 0.831
Er 0.448 0.335 0.168
Ho 0.782 0.002 0.501
Er 0.120 0.169 0.831
Ho 0.782 0.499 0.998
Ho 0.782 0.499 0.501
Er 0.115 0.667 0.333
Th 0.449 0.333 0.667

---

Which structure is most stable? i, by 0.028 eV/atom over the runner-up.

---

--- i ---
! HoEr4Th2 | Alexandria | PBE | optimized geometry; values from VASP
! SG ... P-1 (2)
&SYSTEM
  ibrav = 0, nat = 7, ntyp = 3
/
ATOMIC_SPECIES
Th 232.04 Th.upf
Er 167.26 Er.upf
Ho 164.93 Ho.upf
CELL_PARAMETERS angstrom
-2.866 -1.723 0.857
2.531 -4.938 -6.407
2.240 -2.023 8.347
ATOMIC_POSITIONS crystal
Th 0.590 0.586 0.867
Er 0.366 0.728 0.579
Th 0.410 0.414 0.133
Er 0.634 0.272 0.421
Er 0.045 0.836 0.284
Er 0.955 0.164 0.716
Ho 0.000 0.000 0.000

---

--- ii ---
! HoEr4Th2 | Alexandria | PBE | optimized geometry; values from VASP
! SG ... P6_3/mmc (194)
&SYSTEM
  ibrav = 0, nat = 14, ntyp = 3
/
ATOMIC_SPECIES
Er 167.26 Er.upf
Ho 164.93 Ho.upf
Th 232.04 Th.upf
CELL_PARAMETERS angstrom
-0.737 4.722 -2.865
-1.285 -4.898 -2.323
-15.455 1.219 5.982
ATOMIC_POSITIONS crystal
Er 0.833 0.667 0.148
Er 0.833 0.667 0.352
Er 0.167 0.333 0.648
Ho 0.500 0.000 0.250
Th 0.833 0.667 0.943
Th 0.167 0.333 0.057
Er 0.167 0.334 0.250
Er 0.500 0.000 0.000
Th 0.167 0.333 0.443
Er 0.833 0.666 0.750
Er 0.500 0.000 0.500
Ho 0.500 0.000 0.750
Th 0.833 0.667 0.557
Er 0.167 0.333 0.852

---

Which structure is most stable? i, by 0.072 eV/atom over the runner-up.

---

--- i ---
! Ho12Er5Th2 | Alexandria | PBE | optimized geometry; values from VASP
! SG ... P-1 (2)
&SYSTEM
  ibrav = 0, nat = 19, ntyp = 3
/
ATOMIC_SPECIES
Ho 164.93 Ho.upf
Er 167.26 Er.upf
Th 232.04 Th.upf
CELL_PARAMETERS angstrom
6.115 0.246 -0.254
-2.673 8.219 -7.045
-0.371 -2.185 13.475
ATOMIC_POSITIONS crystal
Ho 0.050 0.208 0.393
Ho 0.473 0.895 0.551
Er 0.841 0.367 0.815
Ho 0.315 0.262 0.868
Ho 0.369 0.473 0.763
Th 0.737 0.948 0.025
Ho 0.950 0.792 0.607
Er 0.422 0.687 0.661
Er 0.000 0.000 0.500
Ho 0.896 0.583 0.713
Er 0.578 0.313 0.339
Ho 0.527 0.105 0.449
Er 0.159 0.633 0.185
Ho 0.211 0.844 0.079
Ho 0.685 0.738 0.132
Ho 0.789 0.156 0.921
Ho 0.104 0.417 0.287
Ho 0.631 0.527 0.237
Th 0.263 0.052 0.975

---

--- ii ---
! Ho12Er5Th2 | Alexandria | PBE | optimized geometry; values from VASP
! SG ... C2/m (12)
&SYSTEM
  ibrav = 0, nat = 19, ntyp = 3
/
ATOMIC_SPECIES
Er 167.26 Er.upf
Ho 164.93 Ho.upf
Th 232.04 Th.upf
CELL_PARAMETERS angstrom
9.312 0.000 0.000
-4.656 11.217 -1.716
0.000 -5.209 6.643
ATOMIC_POSITIONS crystal
Er 0.000 0.000 0.500
Ho 0.975 0.308 0.066
Ho 0.565 0.746 0.402
Ho 0.443 0.885 0.211
Ho 0.557 0.115 0.789
Ho 0.666 0.692 0.934
Ho 0.025 0.692 0.934
Ho 0.819 0.254 0.598
Er 0.305 0.609 0.622
Th 0.320 0.000 0.000
Ho 0.334 0.308 0.066
Ho 0.435 0.254 0.598
Ho 0.088 0.177 0.294
Ho 0.912 0.823 0.706
Er 0.232 0.465 0.889
Th 0.680 0.000 0.000
Er 0.695 0.391 0.378
Er 0.768 0.535 0.111
Ho 0.181 0.746 0.402

---

Which structure is most stable? i, by 0.126 eV/atom over the runner-up.

---

--- i ---
! Ho2ErTh | Alexandria | PBE | optimized geometry; values from VASP
! SG ... R-3m (166)
&SYSTEM
  ibrav = 0, nat = 4, ntyp = 3
/
ATOMIC_SPECIES
Er 167.26 Er.upf
Ho 164.93 Ho.upf
Th 232.04 Th.upf
CELL_PARAMETERS angstrom
3.551 0.000 0.000
1.775 3.075 0.000
1.775 1.025 11.465
ATOMIC_POSITIONS crystal
Er 0.000 0.000 0.000
Ho 0.751 0.751 0.748
Th 0.500 0.500 0.500
Ho 0.249 0.249 0.252

---

--- ii ---
! Ho2ErTh | Alexandria | PBE | optimized geometry; values from VASP
! SG ... P4/mmm (123)
&SYSTEM
  ibrav = 0, nat = 4, ntyp = 3
/
ATOMIC_SPECIES
Ho 164.93 Ho.upf
Er 167.26 Er.upf
Th 232.04 Th.upf
CELL_PARAMETERS angstrom
5.003 0.000 0.000
0.000 4.991 0.000
0.000 0.000 4.991
ATOMIC_POSITIONS crystal
Ho 0.000 0.000 0.500
Er 0.500 0.500 0.500
Th 0.500 0.000 0.000
Ho 0.000 0.500 0.000

---

--- iii ---
! Ho2ErTh | Alexandria | PBE | optimized geometry; values from VASP
! SG ... I4/mmm (139)
&SYSTEM
  ibrav = 0, nat = 8, ntyp = 3
/
ATOMIC_SPECIES
Er 167.26 Er.upf
Ho 164.93 Ho.upf
Th 232.04 Th.upf
CELL_PARAMETERS angstrom
-2.918 -6.302 -1.535
5.693 -3.294 2.703
-0.716 3.069 5.240
ATOMIC_POSITIONS crystal
Er 0.250 0.750 0.000
Ho 0.250 0.500 0.500
Ho 0.750 0.500 0.500
Er 0.750 0.250 0.000
Th 0.250 0.250 0.000
Th 0.750 0.750 0.000
Ho 0.750 0.000 0.500
Ho 0.250 0.000 0.500

---

--- iv ---
! Ho2ErTh | Alexandria | PBE | optimized geometry; values from VASP
! SG ... Fm-3m (225)
&SYSTEM
  ibrav = 0, nat = 4, ntyp = 3
/
ATOMIC_SPECIES
Er 167.26 Er.upf
Ho 164.93 Ho.upf
Th 232.04 Th.upf
CELL_PARAMETERS angstrom
5.637 0.000 0.000
2.818 4.882 0.000
2.818 1.627 4.602
ATOMIC_POSITIONS crystal
Er 0.500 0.500 0.500
Ho 0.250 0.250 0.250
Th 0.000 0.000 0.000
Ho 0.750 0.750 0.750

---

Which structure is most stable? i, by 0.012 eV/atom over the runner-up.